(1)
This record from Alexandria describes an optimized crystal structure of AcAlGe2. The functional is GGA-PBE.

excess energy over the best structure of this formula in the dataset: 137 meV/atom
calculated total energy: -18.161 eV for the cell shown
energy relative to the elements: -0.2689 eV/atom
calculated density: 6.854 g cm⁻³
volume: 24.183 Å³ per atom
Fermi-level density of states: 0.522 states/eV/atom
symmetry: No. 123

abc: 4.4262 4.6749 4.6749
angles: 90.00 90.00 90.00
With the nearest neighbours (Å) after each atom.
Positions (direct):
Ge 0.0000 0.5000 0.0000  4 Al 3.22, 4 Ac 3.22, 4 Ge 3.31
Ge 0.0000 0.0000 0.5000  4 Ac 3.22, 4 Al 3.22, 4 Ge 3.31
Ac 0.5000 0.0000 0.0000  8 Ge 3.22, 4 Al 3.31
Al 0.5000 0.5000 0.5000  8 Ge 3.22, 4 Ac 3.31

(2)
This record from Alexandria describes an optimized crystal structure of Ac2Al2Ge3. The functional is GGA-PBE.

excess energy over the best structure of this formula in the dataset: 0 meV/atom
calculated total energy: -66.643 eV for the cell shown
energy relative to the elements: -0.5382 eV/atom
calculated density: 6.644 g cm⁻³
volume: 25.917 Å³ per atom
Fermi-level density of states: 0.443 states/eV/atom
symmetry: No. 12

abc: 4.4361 8.5692 10.1739
angles: 81.45 77.41 75.00
With the nearest neighbours (Å) after each atom.
Positions (direct):
Al 0.5884 0.4723 0.3510  4 Ge 2.58-2.63
Ac 0.2660 0.1267 0.3412  6 Ge 3.17-3.25
Ge 0.9214 0.0309 0.1263  1 Ge 2.61, 1 Al 2.64
Ge 0.3981 0.7537 0.4501  4 Al 2.58-2.62
Ac 0.6025 0.7402 0.0549  7 Ge 3.28-3.40, 3 Al 3.44-3.50
Ge 0.0786 0.9691 0.8737  1 Ge 2.61, 1 Al 2.64
Ge 0.6019 0.2463 0.5499  4 Al 2.58-2.62
Ac 0.3975 0.2598 0.9451  7 Ge 3.28-3.40, 3 Al 3.44-3.50
Al 0.4116 0.5277 0.6490  4 Ge 2.58-2.63
Ge 0.8510 0.5061 0.7918  3 Al 2.63-2.69
Al 0.0477 0.2183 0.6863  4 Ge 2.60-2.69
Al 0.9523 0.7817 0.3137  4 Ge 2.60-2.69
Ge 0.1490 0.4939 0.2082  3 Al 2.63-2.69
Ac 0.7340 0.8733 0.6588  6 Ge 3.17-3.25

(3)
This record from Alexandria describes an optimized crystal structure of Ac3Al2Ge7. The functional is GGA-PBE.

calculated total energy: -57.138 eV for the cell shown
energy relative to the elements: -0.4172 eV/atom
calculated density: 7.148 g cm⁻³
volume: 24.071 Å³ per atom
Fermi-level density of states: 0.285 states/eV/atom
symmetry: No. 10

abc: 4.6910 4.7066 13.3024
angles: 100.43 90.00 90.00
With the nearest neighbours (Å) after each atom.
Positions (direct):
Ge 0.0000 0.5818 0.1726  2 Al 2.62
Ge 0.5000 0.2714 0.5426  1 Al 2.55, 2 Ge 2.60-2.61
Al 0.5000 0.3687 0.7377  5 Ge 2.55-2.64
Ge 0.5000 0.9140 0.8279  2 Al 2.63-2.64
Ac 0.0000 0.8186 0.6357  10 Ge 3.31-3.54, 4 Al 3.57-3.59
Ac 0.5000 0.5000 0.0000  12 Ge 3.25-3.32, 2 Al 3.43
Al 0.5000 0.6313 0.2623  5 Ge 2.55-2.64
Ge 0.0000 0.4182 0.8274  2 Al 2.62
Ge 0.5000 0.7286 0.4574  1 Al 2.55, 2 Ge 2.60-2.61
Ge 0.5000 0.0860 0.1721  2 Al 2.63-2.64
Ge 0.0000 0.0000 0.0000  8 Ge 3.24-3.28, 4 Ac 3.32
Ac 0.0000 0.1814 0.3643  10 Ge 3.31-3.54, 4 Al 3.57-3.59

(4)
This record from Alexandria describes an optimized crystal structure of Ac2AlGe4. The functional is GGA-PBE.

calculated total energy: -33.175 eV for the cell shown
energy relative to the elements: -0.3923 eV/atom
calculated density: 6.732 g cm⁻³
volume: 27.189 Å³ per atom
Fermi-level density of states: 0.546 states/eV/atom
symmetry: No. 42

abc: 6.5692 6.5692 6.2439
angles: 118.10 118.10 96.00
With the nearest neighbours (Å) after each atom.
Positions (direct):
Al 0.0492 0.9508 0.0000  4 Ge 2.61-2.63
Ge 0.6999 0.7220 0.0000  1 Al 2.61, 2 Ge 2.63
Ac 0.7448 0.2552 0.5000  8 Ge 3.27-3.36, 2 Al 3.66
Ge 0.7022 0.7192 0.4214  1 Al 2.63, 2 Ge 2.63
Ge 0.2780 0.3001 0.0000  1 Al 2.61, 2 Ge 2.63
Ac 0.2448 0.7552 0.5000  8 Ge 3.27-3.36, 2 Al 3.66
Ge 0.2808 0.2978 0.5786  1 Al 2.63, 2 Ge 2.63

(5)
This record from Alexandria describes an optimized crystal structure of Ac4Al2Ge5. The functional is GGA-PBE.

calculated total energy: -53.730 eV for the cell shown
energy relative to the elements: -0.6113 eV/atom
calculated density: 7.334 g cm⁻³
volume: 27.275 Å³ per atom
Fermi-level density of states: 0.557 states/eV/atom
symmetry: No. 10

abc: 4.6895 7.4732 8.5676
angles: 87.77 90.00 90.00
With the nearest neighbours (Å) after each atom.
Positions (direct):
Al 0.0000 0.9122 0.3743  2 Ge 2.56-2.57, 1 Al 2.56
Ge 0.0000 0.5000 0.0000  4 Ge 3.09-3.12, 4 Ac 3.28
Ac 0.5000 0.7625 0.1295  8 Ge 3.28-3.47, 2 Al 3.37
Ac 0.5000 0.2591 0.3666  6 Ge 3.30-3.60, 4 Al 3.44-3.49
Ge 0.0000 0.5705 0.3566  1 Al 2.56, 1 Ge 2.64
Al 0.0000 0.0878 0.6257  2 Ge 2.56-2.57, 1 Al 2.56
Ge 0.0000 0.1046 0.1191  1 Al 2.57, 1 Ge 2.62
Ac 0.5000 0.2375 0.8705  8 Ge 3.28-3.47, 2 Al 3.37
Ge 0.0000 0.4295 0.6434  1 Al 2.56, 1 Ge 2.64
Ac 0.5000 0.7409 0.6334  6 Ge 3.30-3.60, 4 Al 3.44-3.49
Ge 0.0000 0.8954 0.8809  1 Al 2.57, 1 Ge 2.62

(6)
This record from Alexandria describes an optimized crystal structure of Ac3AlGe. The functional is GGA-PBE.

calculated total energy: -45.145 eV for the cell shown
energy relative to the elements: -0.3775 eV/atom
calculated density: 7.578 g cm⁻³
volume: 34.211 Å³ per atom
Fermi-level density of states: 0.786 states/eV/atom
symmetry: No. 2

abc: 4.3796 8.7870 9.1893
angles: 92.95 89.97 104.36
With the nearest neighbours (Å) after each atom.
Positions (direct):
Ac 0.2616 0.5557 0.0356  3 Ge 3.32-3.33, 3 Al 3.39-3.56
Al 0.2355 0.5039 0.6486  2 Al 2.74
Al 0.8086 0.6503 0.7730  2 Al 2.74
Ac 0.9732 0.9797 0.0365  4 Ge 3.30-3.56, 1 Ac 3.53, 1 Al 3.61
Ac 0.6182 0.2691 0.7946  1 Ge 3.22, 3 Al 3.26-3.30, 1 Ac 3.54
Ac 0.0709 0.1744 0.3850  4 Ge 3.30-3.56, 1 Ac 3.53, 1 Al 3.61
Ac 0.7824 0.5984 0.3859  3 Ge 3.32, 3 Al 3.39-3.56
Ac 0.4258 0.8851 0.6269  1 Ge 3.22, 3 Al 3.26-3.30, 1 Ac 3.54
Ge 0.4136 0.8609 0.2764  8 Ac 3.22-3.56
Ge 0.6302 0.2931 0.1452  8 Ac 3.22-3.56

(7)
This record from Alexandria describes an optimized crystal structure of Ac5Al2Ge. The functional is GGA-PBE.

calculated total energy: -70.355 eV for the cell shown
energy relative to the elements: -0.3166 eV/atom
calculated density: 7.621 g cm⁻³
volume: 34.362 Å³ per atom
Fermi-level density of states: 1.039 states/eV/atom
symmetry: No. 140

abc: 8.3621 8.3621 9.8378
angles: 115.15 115.15 90.00
With the nearest neighbours (Å) after each atom.
Positions (direct):
Ac 0.4772 0.3233 0.3005  3 Al 3.40-3.45, 2 Ge 3.47, 1 Ac 3.63
Ge 0.7500 0.7500 0.5000  8 Ac 3.47
Al 0.6138 0.1138 0.0000  1 Al 2.69
Ac 0.6767 0.1767 0.6995  3 Al 3.40-3.45, 2 Ge 3.47, 1 Ac 3.63
Al 0.8862 0.6138 0.0000  1 Al 2.69
Ac 0.3233 0.8233 0.3005  3 Al 3.40-3.45, 2 Ge 3.47, 1 Ac 3.63
Ac 0.0228 0.5228 0.6995  3 Al 3.40-3.45, 2 Ge 3.47, 1 Ac 3.63
Ac 0.5000 0.5000 0.0000  4 Al 3.37
Ac 0.8233 0.9772 0.3005  3 Al 3.40-3.45, 2 Ge 3.47, 1 Ac 3.63
Ac 0.9772 0.4772 0.3005  3 Al 3.40-3.45, 2 Ge 3.47, 1 Ac 3.63
Ac 0.1767 0.0228 0.6995  3 Al 3.40-3.45, 2 Ge 3.47, 1 Ac 3.63
Ac 0.0000 0.0000 0.0000  4 Al 3.37
Ac 0.5228 0.6767 0.6995  3 Al 3.40-3.45, 2 Ge 3.47, 1 Ac 3.63
Al 0.3862 0.8862 0.0000  1 Al 2.69
Ge 0.2500 0.2500 0.5000  8 Ac 3.47
Al 0.1138 0.3862 0.0000  1 Al 2.69

(8)
This record from Alexandria describes an optimized crystal structure of AcAl6Ge4. The functional is GGA-PBE.

calculated total energy: -45.366 eV for the cell shown
energy relative to the elements: -0.0302 eV/atom
calculated density: 4.805 g cm⁻³
volume: 21.347 Å³ per atom
Fermi-level density of states: 0.393 states/eV/atom
symmetry: No. 139

abc: 4.8009 4.8009 10.7382
angles: 102.92 102.92 90.00
With the nearest neighbours (Å) after each atom.
Positions (direct):
Al 0.8799 0.3799 0.7598  1 Al 2.65, 4 Ge 2.67-2.73
Al 0.3799 0.8799 0.7598  1 Al 2.65, 4 Ge 2.67-2.73
Ge 0.5629 0.5629 0.1258  1 Ge 2.56, 4 Al 2.67
Ge 0.1838 0.1838 0.3677  8 Al 2.73-2.75
Al 0.1201 0.6201 0.2402  1 Al 2.65, 4 Ge 2.67-2.73
Ac 0.0000 0.0000 0.0000  8 Al 3.43, 10 Ge 3.63-3.75
Ge 0.8162 0.8162 0.6323  8 Al 2.73-2.75
Ge 0.4371 0.4371 0.8742  1 Ge 2.56, 4 Al 2.67
Al 0.6201 0.1201 0.2402  1 Al 2.65, 4 Ge 2.67-2.73
Al 0.2500 0.7500 0.5000  2 Al 2.65, 4 Ge 2.75
Al 0.7500 0.2500 0.5000  2 Al 2.65, 4 Ge 2.75

(9)
This record from Alexandria describes an optimized crystal structure of AcAlGe2. The functional is GGA-PBE.

excess energy over the best structure of this formula in the dataset: 0 meV/atom
calculated total energy: -18.709 eV for the cell shown
energy relative to the elements: -0.4058 eV/atom
calculated density: 6.864 g cm⁻³
volume: 24.147 Å³ per atom
Fermi-level density of states: 0.508 states/eV/atom
symmetry: No. 166

abc: 4.5482 4.5482 5.9970
angles: 67.72 67.72 60.00
With the nearest neighbours (Å) after each atom.
Positions (direct):
Al 0.0000 0.0000 0.0000  6 Ge 2.72
Ac 0.5000 0.5000 0.5000  8 Ge 3.30-3.40
Ge 0.7099 0.7099 0.8702  3 Al 2.72, 3 Ge 2.98
Ge 0.2901 0.2901 0.1298  3 Al 2.72, 3 Ge 2.98

(10)
This record from Alexandria describes an optimized crystal structure of Ac3AlGe2. The functional is GGA-PBE.

excess energy over the best structure of this formula in the dataset: 218 meV/atom
calculated total energy: -55.099 eV for the cell shown
energy relative to the elements: -0.3745 eV/atom
calculated density: 7.009 g cm⁻³
volume: 33.693 Å³ per atom
Fermi-level density of states: 0.940 states/eV/atom
symmetry: No. 12

abc: 4.4864 8.6966 11.4717
angles: 70.34 78.72 75.05
With the nearest neighbours (Å) after each atom.
Positions (direct):
Ge 0.8495 0.4823 0.8187  2 Al 2.78, 2 Ac 3.08-3.10
Ac 0.3618 0.2728 0.0036  3 Ge 3.20-3.27
Ac 0.0490 0.1525 0.7495  3 Ge 3.10-3.18
Ge 0.4020 0.7361 0.4598  2 Al 2.67-2.70
Ac 0.9510 0.8475 0.2505  3 Ge 3.10-3.18
Ge 0.5980 0.2639 0.5402  2 Al 2.67-2.70
Al 0.5782 0.5161 0.3276  4 Ge 2.67-2.78
Ge 0.1505 0.5177 0.1813  2 Al 2.78, 2 Ac 3.08-3.10
Al 0.4218 0.4839 0.6724  4 Ge 2.67-2.78
Ac 0.6382 0.7272 0.9964  3 Ge 3.20-3.27
Ac 0.7729 0.8307 0.6235  3 Ge 3.08-3.15
Ac 0.2271 0.1693 0.3765  3 Ge 3.08-3.15